[1]
Compound: NdY2ErS4
Source: the Alexandria database
Functional: PBE
Structure: relaxed

Unit cell a=3.9029 b=6.8260 c=6.8932 alpha=71.05 beta=90.00 gamma=90.00
Closest atoms and distances in Å follow each position.
Atoms (fractional coordinates):
Nd: 0.5000 0.5000 0.0000  6 S 2.84
Y: 0.0000 0.0000 0.0000  6 S 2.81-2.82
Y: 0.5000 0.0000 0.5000  6 S 2.74
Er: 0.0000 0.5000 0.5000  6 S 2.77
S: 0.0000 0.7576 0.7384  3 Y 2.74-2.82, 1 Er 2.77, 2 Nd 2.84
S: 0.0000 0.2424 0.2616  3 Y 2.74-2.82, 1 Er 2.77, 2 Nd 2.84
S: 0.5000 0.7505 0.2587  3 Y 2.74-2.81, 2 Er 2.77, 1 Nd 2.84
S: 0.5000 0.2495 0.7413  3 Y 2.74-2.81, 2 Er 2.77, 1 Nd 2.84

Properties
The crystal system is monoclinic. For the density of states at the Fermi level, the calculation gives 0.607 states/eV/atom. The calculation puts the total energy at -0.502 Ry per atom.

***

[2]
Compound: ReMoRh
Source: the Alexandria database
Functional: PBE
Structure: relaxed

Unit cell a=6.2756 b=6.2756 c=2.7439 alpha=77.37 beta=77.37 gamma=25.26
Closest atoms and distances in Å follow each position.
Atoms (fractional coordinates):
Mo: 0.0010 0.0010 0.9990  4 Mo 2.74, 4 Rh 2.80, 4 Re 2.83
Re: 0.3287 0.3287 0.6713  4 Rh 2.71, 4 Re 2.74, 4 Mo 2.83
Rh: 0.6702 0.6702 0.3298  4 Re 2.71, 4 Rh 2.74, 4 Mo 2.80

Properties
The formation energy from the elements is -0.028 eV/f.u. The crystal system is tetragonal. For the density of states at the Fermi level, the calculation gives 1.134 states/eV/atom.

***

[3]
Compound: Te2SeCl
Source: the Alexandria database
Functional: PBE
Structure: relaxed

Unit cell a=7.8015 b=7.8015 c=6.8317 alpha=55.18 beta=55.18 gamma=90.00
Closest atoms and distances in Å follow each position.
Atoms (fractional coordinates):
Te: 0.6556 0.1250 0.2500  2 Se 2.78, 2 Cl 3.10
Te: 0.0944 0.6250 0.2500  2 Se 2.78, 2 Cl 3.10
Te: 0.3750 0.3444 0.7500  2 Se 2.78, 2 Cl 3.10
Te: 0.8750 0.9056 0.7500  2 Se 2.78, 2 Cl 3.10
Se: 0.0000 0.0000 0.0000  4 Te 2.78
Se: 0.7500 0.2500 0.5000  4 Te 2.78
Cl: 0.5000 0.5000 0.0000  4 Te 3.10
Cl: 0.2500 0.7500 0.5000  4 Te 3.10

Properties
The crystal system is tetragonal. For the density of states at the Fermi level, the calculation gives 1.240 states/eV/atom. The calculation puts the total energy at -0.199 Ry per atom.

***

[4]
Compound: SmCd4Cu4
Source: the Alexandria database
Functional: PBE
Structure: relaxed

Unit cell a=4.5359 b=8.9428 c=8.9428 alpha=90.00 beta=90.00 gamma=90.00
Closest atoms and distances in Å follow each position.
Atoms (fractional coordinates):
Sm: 0.0000 0.0000 0.0000  8 Cu 2.92-2.93
Sm: 0.5000 0.5000 0.5000  8 Cu 2.92-2.93
Cd: 0.5002 0.3840 0.8610  4 Cu 2.67-2.76
Cd: 0.0002 0.6390 0.8840  4 Cu 2.67-2.76
Cd: 0.5002 0.6160 0.1390  4 Cu 2.67-2.76
Cd: 0.9998 0.1160 0.6390  4 Cu 2.67-2.76
Cd: 0.4998 0.8610 0.6160  4 Cu 2.67-2.76
Cd: 0.9998 0.8840 0.3610  4 Cu 2.67-2.76
Cd: 0.0002 0.3610 0.1160  4 Cu 2.67-2.76
Cd: 0.4998 0.1390 0.3840  4 Cu 2.67-2.76
Cu: 0.5000 0.9113 0.1865  2 Cu 2.61, 4 Cd 2.67-2.76, 2 Sm 2.92-2.93
Cu: 0.5000 0.0887 0.8135  2 Cu 2.61, 4 Cd 2.67-2.76, 2 Sm 2.92-2.93
Cu: 0.0000 0.6865 0.5887  2 Cu 2.61, 4 Cd 2.67-2.76, 2 Sm 2.92-2.93
Cu: 0.0000 0.4113 0.6865  2 Cu 2.61, 4 Cd 2.67-2.76, 2 Sm 2.92-2.93
Cu: 0.0000 0.5887 0.3135  2 Cu 2.61, 4 Cd 2.67-2.76, 2 Sm 2.92-2.93
Cu: 0.5000 0.1865 0.0887  2 Cu 2.61, 4 Cd 2.67-2.76, 2 Sm 2.92-2.93
Cu: 0.5000 0.8135 0.9113  2 Cu 2.61, 4 Cd 2.67-2.76, 2 Sm 2.92-2.93
Cu: 0.0000 0.3135 0.4113  2 Cu 2.61, 4 Cd 2.67-2.76, 2 Sm 2.92-2.93

Properties
The formation energy from the elements is 0.317 eV/f.u. The crystal system is tetragonal. For the density of states at the Fermi level, the calculation gives 0.582 states/eV/atom.

***

[5]
Compound: TaReTc2
Source: the Alexandria database
Functional: PBE
Structure: relaxed

Unit cell a=4.8215 b=4.8215 c=4.8215 alpha=131.02 beta=131.02 gamma=71.78
Closest atoms and distances in Å follow each position.
Atoms (fractional coordinates):
Re: 0.2500 0.7500 0.5000  8 Tc 2.79, 4 Ta 2.83
Ta: 0.7500 0.2500 0.5000  8 Tc 2.79, 4 Re 2.83
Tc: 0.0000 0.0000 0.0000  4 Ta 2.79, 4 Re 2.79, 4 Tc 2.83
Tc: 0.5000 0.5000 0.0000  4 Ta 2.79, 4 Re 2.79, 4 Tc 2.83

Properties
The formation energy from the elements is 0.233 eV/f.u. The crystal system is tetragonal. For the density of states at the Fermi level, the calculation gives 1.171 states/eV/atom.

***

[6]
Compound: TlZnAg2O4
Source: the Alexandria database
Functional: PBE
Structure: relaxed

Unit cell a=5.2412 b=5.2557 c=5.9335 alpha=116.29 beta=116.21 gamma=90.00
Closest atoms and distances in Å follow each position.
Atoms (fractional coordinates):
Tl: 0.9856 0.4855 0.9712  4 O 2.20
Zn: 0.7362 0.7362 0.4724  4 O 1.98
Ag: 0.4865 0.9865 0.9730  4 O 2.29
Ag: 0.2351 0.2351 0.4701  4 O 2.30-2.31
O: 0.6330 0.6185 0.7018  1 Zn 1.98, 1 Tl 2.20
O: 0.8534 0.4037 0.2420  1 Zn 1.98, 1 Tl 2.20
O: 0.3885 0.8383 0.2420  1 Zn 1.98, 1 Tl 2.20
O: 0.0688 0.0833 0.7017  1 Zn 1.98, 1 Tl 2.20

Properties
The crystal system is monoclinic. For the density of states at the Fermi level, the calculation gives 0.836 states/eV/atom. The calculation puts the total energy at -0.302 Ry per atom.

***

[7]
Compound: InIr2W
Source: the Alexandria database
Functional: PBE
Structure: relaxed

Unit cell a=3.7996 b=4.1433 c=4.1433 alpha=90.00 beta=90.00 gamma=90.00
Closest atoms and distances in Å follow each position.
Atoms (fractional coordinates):
In: 0.5000 0.0000 0.5000  8 Ir 2.81, 4 W 2.93
Ir: 0.0000 0.0000 0.0000  4 In 2.81, 4 W 2.81, 4 Ir 2.93
Ir: 0.0000 0.5000 0.5000  4 In 2.81, 4 W 2.81, 4 Ir 2.93
W: 0.5000 0.5000 0.0000  8 Ir 2.81, 4 In 2.93

Properties
The formation energy from the elements is 1.038 eV/f.u. The crystal system is tetragonal. For the density of states at the Fermi level, the calculation gives 1.318 states/eV/atom.

***

[8]
Compound: PaAs2BrO6
Source: the Alexandria database
Functional: PBE
Structure: relaxed

Unit cell a=6.8302 b=6.8302 c=7.2147 alpha=105.32 beta=105.32 gamma=90.41
Closest atoms and distances in Å follow each position.
Atoms (fractional coordinates):
Pa: 0.5991 0.4009 0.2500  6 O 2.18-2.28
Pa: 0.4009 0.5991 0.7500  6 O 2.18-2.28
As: 0.5002 0.1171 0.6921  3 O 1.75-1.82
As: 0.8829 0.4998 0.8079  3 O 1.75-1.82
As: 0.4998 0.8829 0.3079  3 O 1.75-1.82
As: 0.1171 0.5002 0.1921  3 O 1.75-1.82
Br: 0.0896 0.9104 0.2500  2 As 2.74, 4 O 3.05-3.06
Br: 0.9104 0.0896 0.7500  2 As 2.74, 4 O 3.05-3.06
O: 0.9239 0.4051 0.2703  1 As 1.75
O: 0.5949 0.0761 0.2297  1 As 1.75
O: 0.0761 0.5949 0.7297  1 As 1.75
O: 0.4051 0.9239 0.7703  1 As 1.75
O: 0.2655 0.3023 0.1099  1 As 1.77
O: 0.6977 0.7345 0.3901  1 As 1.77
O: 0.7345 0.6977 0.8901  1 As 1.77
O: 0.3023 0.2655 0.6099  1 As 1.77
O: 0.3255 0.5894 0.4200  1 As 1.82
O: 0.4106 0.6745 0.0800  1 As 1.82
O: 0.6745 0.4106 0.5800  1 As 1.82
O: 0.5894 0.3255 0.9200  1 As 1.82

Properties
The crystal system is monoclinic. The calculation puts the total energy at -0.495 Ry per atom.

***

[9]
Compound: UPaSb2
Source: the Alexandria database
Functional: PBE
Structure: relaxed

Unit cell a=5.2972 b=5.2972 c=5.2972 alpha=60.00 beta=60.00 gamma=60.00
Closest atoms and distances in Å follow each position.
Atoms (fractional coordinates):
Sb: 0.2500 0.2500 0.2500  4 Pa 3.24, 4 U 3.24
Sb: 0.7500 0.7500 0.7500  4 Pa 3.24, 4 U 3.24
Pa: 0.5000 0.5000 0.5000  8 Sb 3.24
U: 0.0000 0.0000 0.0000  8 Sb 3.24

Properties
The crystal system is cubic. For the density of states at the Fermi level, the calculation gives 2.552 states/eV/atom. The calculation puts the total energy at -0.556 Ry per atom.

***

[10]
Compound: LiNi2P
Source: the Alexandria database
Functional: PBE
Structure: relaxed

Unit cell a=3.2030 b=3.6391 c=3.6391 alpha=90.00 beta=90.00 gamma=90.00
Closest atoms and distances in Å follow each position.
Atoms (fractional coordinates):
Li: 0.5000 0.0000 0.5000  8 Ni 2.42, 4 P 2.57
Ni: 0.0000 0.0000 0.0000  4 Li 2.42, 4 P 2.42, 4 Ni 2.57
Ni: 0.0000 0.5000 0.5000  4 Li 2.42, 4 P 2.42, 4 Ni 2.57
P: 0.5000 0.5000 0.0000  8 Ni 2.42, 4 Li 2.57

Properties
The formation energy from the elements is -1.500 eV/f.u. The crystal system is tetragonal. For the density of states at the Fermi level, the calculation gives 0.774 states/eV/atom.

***

[11]
Compound: TlTcAg2
Source: the Alexandria database
Functional: PBE
Structure: relaxed

Unit cell a=2.8721 b=2.8721 c=9.5325 alpha=90.00 beta=90.00 gamma=107.44
Closest atoms and distances in Å follow each position.
Atoms (fractional coordinates):
Ag: 0.0000 0.0000 0.0144  6 Ag 2.86-2.87, 2 Tl 3.12
Ag: 0.5000 0.5000 0.2552  2 Tc 2.81, 6 Ag 2.86-2.87
Tc: 0.0000 0.0000 0.4901  2 Ag 2.81, 4 Tc 2.87, 2 Tl 2.93
Tl: 0.5000 0.5000 0.7403  4 Tl 2.87, 2 Tc 2.93, 2 Ag 3.12

Properties
The formation energy from the elements is 2.196 eV/f.u. The crystal system is orthorhombic. For the density of states at the Fermi level, the calculation gives 0.535 states/eV/atom.

***

Number 1: V 173.7 Å³ per cell. Number 2: V 44.9 Å³ per cell. Number 3: V 245.3 Å³ per cell. Number 4: V 362.7 Å³ per cell. Number 5: V 62.4 Å³ per cell. Number 6: V 127.5 Å³ per cell. Number 7: V 65.2 Å³ per cell. Number 8: V 312.0 Å³ per cell. Number 9: V 105.1 Å³ per cell. Number 10: V 42.4 Å³ per cell. Number 11: V 75.0 Å³ per cell.